A relaxed Te2PbAu crystal. Source: the Alexandria database, functional PBEsol.

Output
The density of states at the Fermi level comes out at 1.9 states/eV/cell. As for the crystal system: tetragonal. The symmetry is P4/mmm, No. 123. The calculation puts the magnetization at 0.000 μB/atom.

Geometry as POSCAR:
```
Te2PbAu
1.0
4.2933 0.0000 0.0000
0.0000 4.2933 0.0000
0.0000 0.0000 6.0103
Pb Te Au
1 2 1
Direct
0.5000 0.5000 0.8751
0.0000 0.0000 0.8749
0.5000 0.5000 0.3751
0.0000 0.0000 0.3750
```

=====

A relaxed TePbAu4 crystal. Source: the Alexandria database, functional PBEsol.

Output
The density of states at the Fermi level comes out at 1.0 states/eV/cell. As for the crystal system: cubic. The symmetry is F-43m, No. 216. The calculation puts the magnetization at 0.000 μB/atom.

Geometry as POSCAR:
```
TePbAu4
1.0
-2.5251 -4.1824 -2.7362
0.6994 -5.2872 1.7065
-4.2461 -2.7532 2.3972
Pb Te Au
1 1 4
Direct
0.7500 0.7500 0.7500
0.0000 0.0000 0.0000
0.3752 0.3752 0.3752
0.3752 0.3752 0.8745
0.8745 0.3752 0.3752
0.3752 0.8745 0.3752
```

=====

A relaxed Te2PbAu crystal. Source: the Alexandria database, functional PBEsol.

Output
The density of states at the Fermi level comes out at 2.8 states/eV/cell. As for the crystal system: monoclinic. The symmetry is Pm, No. 6. The calculation puts the magnetization at 0.000 μB/atom.

Geometry as POSCAR:
```
Te2PbAu
1.0
4.2088 0.0000 0.0000
0.0000 4.2295 -0.0536
0.0000 -2.0898 6.5398
Pb Te Au
1 2 1
Direct
0.5000 0.3026 0.7281
0.0000 0.9108 0.9470
0.5000 0.5829 0.2878
0.0000 0.7038 0.5372
```

=====

A relaxed TePb2Au crystal. Source: the Alexandria database, functional PBEsol.

Output
The density of states at the Fermi level comes out at 1.5 states/eV/cell. As for the crystal system: tetragonal. The symmetry is P4/mmm, No. 123. The calculation puts the magnetization at 0.000 μB/atom.

Geometry as POSCAR:
```
TePb2Au
1.0
3.8277 0.0000 0.0834
0.0000 3.8277 0.0000
-0.1552 0.0000 7.1037
Pb Te Au
2 1 1
Direct
0.9994 0.0000 0.7303
0.0006 0.0000 0.2697
0.5000 0.5000 0.0000
0.5000 0.5000 0.5000
```

=====

A relaxed TePb2Au crystal. Source: the Alexandria database, functional PBEsol.

Output
The density of states at the Fermi level comes out at 1.9 states/eV/cell. As for the crystal system: cubic. The symmetry is F-43m, No. 216. The calculation puts the magnetization at 0.000 μB/atom.

Geometry as POSCAR:
```
TePb2Au
1.0
5.2702 0.0000 0.0000
2.6351 4.5642 0.0000
2.6351 1.5214 4.3031
Au Pb Te
1 2 1
Direct
0.5000 0.5000 0.5000
0.0000 0.0000 0.0000
0.7500 0.7500 0.7500
0.2500 0.2500 0.2500
```

=====

A relaxed Te2PbAu crystal. Source: the Alexandria database, functional PBEsol.

Output
The density of states at the Fermi level comes out at 7.9 states/eV/cell. As for the crystal system: tetragonal. The symmetry is I-42d, No. 122. The calculation puts the magnetization at 0.000 μB/atom.

Geometry as POSCAR:
```
Te2PbAu
1.0
6.6007 0.0000 0.0000
0.0000 6.6007 0.0000
-3.3003 -3.3003 6.5885
Pb Te Au
2 4 2
Direct
0.2500 0.7500 0.5000
0.0000 0.0000 0.0000
0.4206 0.8750 0.2500
0.8294 0.3750 0.2500
0.1250 0.1706 0.7500
0.6250 0.5794 0.7500
0.7500 0.2500 0.5000
0.5000 0.5000 0.0000
```

=====

Table of energy relative to the elements, uncorrected (eV/f.u.), in record order: -0.15, -0.14, -0.20, -0.22, 0.57, 0.05
Table of ρ (g/cm³), in record order: 9.88, 15.02, 9.44, 11.78, 11.85, 7.63